# 1
# NpPa2NiS5, optimized geometry, DFT PBE
data_NpPa2NiS5
_symmetry_space_group_name_H-M 'C m c 21'
_symmetry_Int_Tables_number 36
_symmetry_space_group_name_Hall 'C 2c -2'
_cell_length_a 3.7376
_cell_length_b 16.1016
_cell_length_c 11.6444
_cell_angle_alpha 90.00
_cell_angle_beta 90.00
_cell_angle_gamma 90.00
loop_
_atom_site_label
_atom_site_fract_x
_atom_site_fract_y
_atom_site_fract_z
Np1 0.0000 0.1781 0.0000
Pa1 0.0000 0.1135 0.3222
Pa2 0.0000 0.1162 0.6685
Ni1 0.0000 0.4527 0.3855
S1 0.0000 0.0107 0.9827
S2 0.0000 0.3006 0.6689
S3 0.0000 0.3196 0.3316
S4 0.0000 0.3462 0.9944
S5 0.0000 0.4905 0.7167
# * raw formation energy: -1.39 eV per atom
# * uncorrected energy: -7.877 eV per atom
# * volume: 175.2 Å³/f.u.

---

# 2
# NpPaNiS4, optimized geometry, DFT PBE
data_NpPaNiS4
_symmetry_space_group_name_H-M 'P 1 21/m 1'
_symmetry_Int_Tables_number 11
_symmetry_space_group_name_Hall '-P 2yb'
_cell_length_a 6.2978
_cell_length_b 5.9070
_cell_length_c 7.4888
_cell_angle_alpha 90.00
_cell_angle_beta 106.65
_cell_angle_gamma 90.00
loop_
_atom_site_label
_atom_site_fract_x
_atom_site_fract_y
_atom_site_fract_z
Np1 0.2432 0.2500 0.0593
Pa1 0.2411 0.2500 0.5573
Ni1 0.2366 0.7500 0.3157
S1 0.0189 0.5119 0.7540
S2 0.4288 0.7500 0.6092
S3 0.4349 0.7500 0.1151
# * raw formation energy: -1.27 eV per atom
# * uncorrected energy: -7.662 eV per atom
# * volume: 133.5 Å³/f.u.

---

# 3
# Np2PaNi2S7, optimized geometry, DFT PBE
data_Np2PaNi2S7
_symmetry_space_group_name_H-M 'C 1 2/m 1'
_symmetry_Int_Tables_number 12
_symmetry_space_group_name_Hall '-C 2y'
_cell_length_a 6.3146
_cell_length_b 6.1392
_cell_length_c 11.5990
_cell_angle_alpha 90.00
_cell_angle_beta 102.75
_cell_angle_gamma 90.00
loop_
_atom_site_label
_atom_site_fract_x
_atom_site_fract_y
_atom_site_fract_z
Np1 0.1142 0.0000 0.3406
Pa1 0.0000 0.0000 0.0000
Ni1 0.0886 0.5000 0.2211
S1 0.0000 0.5000 0.0000
S2 0.1812 0.2546 0.8203
S3 0.2263 0.5000 0.4226
# * raw formation energy: -0.93 eV per atom
# * uncorrected energy: -7.252 eV per atom
# * volume: 219.3 Å³/f.u.

---

# 4
# Np2PaNiS5, optimized geometry, DFT PBE
data_Np2PaNiS5
_symmetry_space_group_name_H-M 'C m c 21'
_symmetry_Int_Tables_number 36
_symmetry_space_group_name_Hall 'C 2c -2'
_cell_length_a 3.7406
_cell_length_b 16.1131
_cell_length_c 11.7999
_cell_angle_alpha 90.00
_cell_angle_beta 90.00
_cell_angle_gamma 90.00
loop_
_atom_site_label
_atom_site_fract_x
_atom_site_fract_y
_atom_site_fract_z
Np1 0.0000 0.1108 0.0000
Np2 0.0000 0.1170 0.3467
Pa1 0.0000 0.1804 0.6750
Ni1 0.0000 0.4447 0.0671
S1 0.0000 0.0155 0.6625
S2 0.0000 0.3045 0.3421
S3 0.0000 0.3139 0.0067
S4 0.0000 0.3466 0.6712
S5 0.0000 0.4944 0.3998
# * raw formation energy: -1.32 eV per atom
# * uncorrected energy: -8.184 eV per atom
# * volume: 177.8 Å³/f.u.